Entry 1:
A plane-wave DFT calculation with PBE-GGA was carried out for a relaxed YTc6 crystal.

## Properties
The energy relative to the lowest polymorph listed for this composition is 574.0 kJ/mol of formula units. For the density of states at the Fermi level, the calculation gives 6.28 states/eV/f.u. As for the uncorrected energy: -8.95 eV/atom.

a = 6.763 Å, b = 6.763 Å, c = 6.763 Å
α = 90.00°, β = 90.00°, γ = 90.00°
Space group Im-3m (No. 229)
Asymmetric unit:
Y: 0.000 0.000 0.000 [2 per cell]
Tc: 0.000 0.250 0.500 [12 per cell]

---

Entry 2:
A plane-wave DFT calculation with PBE-GGA was carried out for a relaxed CaInHPb2 crystal.

## Properties
For the density of states at the Fermi level, the calculation gives 3.10 states/eV/f.u. As for the uncorrected energy: -3.22 eV/atom.

a = 5.092 Å, b = 5.092 Å, c = 4.657 Å
α = 90.00°, β = 90.00°, γ = 90.00°
Space group P4/mmm (No. 123)
Asymmetric unit:
Ca: 0.000 0.000 0.000 [1 per cell]
In: 0.500 0.500 0.000 [1 per cell]
H: 0.000 0.000 0.500 [1 per cell]
Pb: 0.000 0.500 0.500 [2 per cell]

---

Entry 3:
A plane-wave DFT calculation with PBE-GGA was carried out for a relaxed Rb2HgTe2 crystal.

## Properties
The calculation puts the formation energy without anion corrections at -495 meV/atom. For the density of states at the Fermi level, the calculation gives 3.58 states/eV/f.u. As for the uncorrected energy: -2.20 eV/atom.

a = 11.253 Å, b = 11.253 Å, c = 3.313 Å
α = 90.00°, β = 90.00°, γ = 90.00°
Space group P4/mbm (No. 127)
Asymmetric unit:
Rb: 0.143 0.357 0.000 [4 per cell]
Hg: 0.000 0.000 0.000 [2 per cell]
Te: 0.152 0.652 0.500 [4 per cell]

---

Entry 4:
A plane-wave DFT calculation with PBE-GGA was carried out for a relaxed MgFeTcMo crystal.

## Properties
For the density of states at the Fermi level, the calculation gives 4.23 states/eV/f.u. As for the uncorrected energy: -7.64 eV/atom.

a = 6.122 Å, b = 6.122 Å, c = 6.122 Å
α = 90.00°, β = 90.00°, γ = 90.00°
Space group F-43m (No. 216)
Asymmetric unit:
Mg: 0.000 0.000 0.000 [4 per cell]
Fe: 0.250 0.250 0.250 [4 per cell]
Tc: 0.250 0.250 0.750 [4 per cell]
Mo: 0.000 0.000 0.500 [4 per cell]

---

Entry 5:
A plane-wave DFT calculation with PBE-GGA was carried out for a relaxed Ta2CoTc crystal.

## Properties
The energy relative to the lowest polymorph listed for this composition is 9.5 kJ/mol of formula units. For the density of states at the Fermi level, the calculation gives 2.82 states/eV/f.u. As for the uncorrected energy: -10.55 eV/atom.

a = 6.279 Å, b = 6.279 Å, c = 6.279 Å
α = 90.00°, β = 90.00°, γ = 90.00°
Space group Fm-3m (No. 225)
Asymmetric unit:
Ta: 0.250 0.250 0.250 [8 per cell]
Co: 0.000 0.000 0.000 [4 per cell]
Tc: 0.000 0.000 0.500 [4 per cell]

---

Entry 6:
A plane-wave DFT calculation with PBE-GGA was carried out for a relaxed Rb3Pa2CdO9 crystal.

## Properties
The calculation puts the formation energy without anion corrections at -2226 meV/atom. For the density of states at the Fermi level, the calculation gives 10.44 states/eV/f.u. As for the uncorrected energy: -6.72 eV/atom.

a = 6.2049 Å, b = 6.2049 Å, c = 7.5701 Å
α = 90.00°, β = 90.00°, γ = 120.00°
Space group P-3m1 (No. 164)
Asymmetric unit:
Rb: 0.0000 0.0000 0.0000 [1 per cell]
Rb: 0.3333 0.6667 0.6602 [2 per cell]
Pa: 0.3333 0.6667 0.1721 [2 per cell]
Cd: 0.0000 0.0000 0.5000 [1 per cell]
O: 0.0000 0.5000 0.0000 [3 per cell]
O: 0.1726 0.3452 0.3233 [6 per cell]